CsFeAsF2 | PBE with a Hubbard U | relaxed

Output
DOS at the Fermi energy ... 1.5 states/eV/f.u.
Size of the total moment ... 3.19 μB/cell
Total DFT energy (no corrections) ... -3.859 eV/atom

abc: 5.0085 5.0085 4.5529
angles: 90.00 90.00 90.00
Atoms (fractional coordinates):
Cs: 0.0000 0.0000 0.0000
Fe: 0.5000 0.5000 0.0000
As: 0.5000 0.5000 0.5000
F: 0.0000 0.5000 0.5000
F: 0.5000 0.0000 0.5000